Here is an optimized crystal structure of La5Pm2Nd2 from Alexandria via LeMat-Bulk. Energies are from PBE.

abc: 11.980 7.035 10.285
angles: 110.00 125.52 90.00
Element x y z (fractional)
La  0.180  0.664  0.896
La  0.820  0.768  0.104
La  0.216  0.164  0.896
La  0.784  0.268  0.104
La  0.372  0.021  0.288
La  0.628  0.733  0.712
La  0.416  0.521  0.288
La  0.584  0.233  0.712
La  0.997  0.646  0.500
La  0.003  0.145  0.500
Pm  0.000  0.066  0.000
Pm  0.500  0.568  0.000
Pm  0.255  0.346  0.500
Pm  0.745  0.846  0.500
Nd  0.135  0.674  0.258
Nd  0.865  0.416  0.742
Nd  0.624  0.176  0.259
Nd  0.376  0.917  0.741

Summary:
Total energy in eV/atom: -4.69
Energy of formation from the pure elements in eV per atom: 0.166
Symmetry: C2
Relative energy among the computed polymorphs in eV per atom: 0.064
DOS at the Fermi energy in states/eV per atom: 1.412
Volume in Å³ per cell: 640.22